GGA+U Li2MnO2F, relaxed; uncorrected energy = -5.9288 eV/atom; crystal system = triclinic; SG = No. 2
1.0
5.0982 0.0000 0.0000
1.3872 4.9070 0.0000
2.3081 0.2430 4.5833
Li Mn O F
4 2 4 2
direct
0.0000 0.0000 0.0000
0.1827 0.4922 0.6383
0.5000 0.5000 0.0000
0.8173 0.5078 0.3617
0.3131 0.0026 0.3623
0.6869 0.9974 0.6377
0.0953 0.7669 0.3373
0.4398 0.7654 0.6476
0.5602 0.2346 0.3524
0.9047 0.2331 0.6627
0.2490 0.2493 0.0117
0.7510 0.7507 0.9883